Entry 1:
This record from the Alexandria database describes a geometry-optimized PaBeO6 structure. The functional is PBE.

Formation energy (no corrections)   -1374 meV per atom
Density of states at the Fermi level   0.80 states/eV/atom

Cell: 5.3940 5.3940 5.3940 Å, 60.00 60.00 60.00°
Last column: nearest neighbours and their distance in Å.
Fractional positions:
Pa 0.0000 0.0000 0.0000  6 O 2.06
Be 0.5000 0.5000 0.5000  6 O 1.75
O 0.2706 0.2706 0.7294  1 Be 1.75
O 0.2706 0.7294 0.2706  1 Be 1.75
O 0.2706 0.7294 0.7294  1 Be 1.75
O 0.7294 0.2706 0.2706  1 Be 1.75
O 0.7294 0.2706 0.7294  1 Be 1.75
O 0.7294 0.7294 0.2706  1 Be 1.75



Entry 2:
This record from the Alexandria database describes a geometry-optimized Pa2Be3O9 structure. The functional is PBE.

Formation energy (no corrections)   -2670 meV per atom
Density of states at the Fermi level   0.30 states/eV/atom

Cell: 6.1494 6.1494 9.6406 Å, 90.00 90.00 120.00°
Last column: nearest neighbours and their distance in Å.
Fractional positions:
Pa 0.3333 0.6667 0.0506  6 O 2.16-2.32
Pa 0.3333 0.6667 0.4494  6 O 2.16-2.32
Pa 0.6667 0.3333 0.5506  6 O 2.16-2.32
Pa 0.6667 0.3333 0.9494  6 O 2.16-2.32
Be 0.0753 0.7881 0.7500  4 O 1.62-1.65
Be 0.2119 0.2871 0.7500  4 O 1.62-1.65
Be 0.2871 0.0753 0.2500  4 O 1.62-1.65
Be 0.7129 0.9247 0.7500  4 O 1.62-1.65
Be 0.7881 0.7129 0.2500  4 O 1.62-1.65
Be 0.9247 0.2119 0.2500  4 O 1.62-1.65
O 0.0680 0.6574 0.5988  1 Be 1.65
O 0.0680 0.6574 0.9012  1 Be 1.65
O 0.0785 0.7779 0.2500  2 Be 1.62-1.63
O 0.2221 0.3006 0.2500  2 Be 1.62-1.63
O 0.3006 0.0785 0.7500  2 Be 1.62-1.63
O 0.3426 0.4106 0.5988  1 Be 1.65
O 0.3426 0.4106 0.9012  1 Be 1.65
O 0.4106 0.0680 0.0988  1 Be 1.65
O 0.4106 0.0680 0.4012  1 Be 1.65
O 0.5894 0.9320 0.5988  1 Be 1.65
O 0.5894 0.9320 0.9012  1 Be 1.65
O 0.6574 0.5894 0.0988  1 Be 1.65
O 0.6574 0.5894 0.4012  1 Be 1.65
O 0.6994 0.9215 0.2500  2 Be 1.62-1.63
O 0.7779 0.6994 0.7500  2 Be 1.62-1.63
O 0.9215 0.2221 0.7500  2 Be 1.62-1.63
O 0.9320 0.3426 0.0988  1 Be 1.65
O 0.9320 0.3426 0.4012  1 Be 1.65